This record from Alexandria describes crystalline Li3S2 at its relaxed geometry. The functional is GGA-PBE.

Cell lengths 6.7362, 6.7362, 5.5771 Å; angles 52.85, 52.85, 60.00 degrees
Fractional coordinates of all 10 atoms:
S  0.8761  0.8761  0.3717
S  0.3761  0.3761  0.8717
S  0.1239  0.1239  0.6283
S  0.6239  0.6239  0.1283
Li  0.0437  0.7500  0.7500
Li  0.7500  0.4563  0.7500
Li  0.4563  0.0437  0.7500
Li  0.2500  0.5437  0.2500
Li  0.5437  0.9563  0.2500
Li  0.9563  0.2500  0.2500

Computed properties:
space group: R-3c (167)
E_form (uncorrected): -5.3 eV per formula unit
crystal system: trigonal
calculated total energy: -3.8562 eV per atom
DOS(E_F): 2.59 states/eV/cell

This record from Alexandria describes crystalline Li3SbS4 at its relaxed geometry. The functional is GGA-PBE.

Cell lengths 6.8172, 6.8172, 6.8172 Å; angles 130.53, 130.53, 72.56 degrees
Fractional coordinates of all 8 atoms:
Li  0.5000  0.5000  0.0000
Li  0.7500  0.2500  0.5000
Li  0.2500  0.7500  0.5000
Sb  0.0000  0.0000  0.0000
S  0.6351  0.1134  0.0000
S  0.1134  0.6351  0.0000
S  0.3649  0.3649  0.4783
S  0.8866  0.8866  0.5217

Computed properties:
space group: I-42m (121)
E_form (uncorrected): -6.8 eV per formula unit
crystal system: tetragonal
calculated total energy: -4.1410 eV per atom
energy relative to the lowest polymorph listed for this composition: 5.4 meV per atom
DOS(E_F): 0.00 states/eV/cell

This record from Alexandria describes crystalline Li8Sb2S at its relaxed geometry. The functional is GGA-PBE.

Cell lengths 7.8226, 7.8226, 9.3242 Å; angles 63.10, 63.10, 62.60 degrees
Fractional coordinates of all 22 atoms:
Li  0.1156  0.6021  0.7527
Li  0.4198  0.2138  0.8872
Li  0.7862  0.5802  0.6128
Li  0.3979  0.8844  0.7473
Li  0.5135  0.2723  0.5543
Li  0.2723  0.5135  0.0543
Li  0.9712  0.8991  0.4230
Li  0.8991  0.9712  0.9230
Li  0.1009  0.0288  0.0770
Li  0.0288  0.1009  0.5770
Li  0.7277  0.4865  0.9457
Li  0.4865  0.7277  0.4457
Li  0.6021  0.1156  0.2527
Li  0.2138  0.4198  0.3872
Li  0.5802  0.7862  0.1128
Li  0.8844  0.3979  0.2473
Sb  0.7415  0.8990  0.7509
Sb  0.1010  0.2585  0.7491
Sb  0.8990  0.7415  0.2509
Sb  0.2585  0.1010  0.2491
S  0.5602  0.4398  0.2500
S  0.4398  0.5602  0.7500

Computed properties:
space group: C2/c (15)
E_form (uncorrected): -8.3 eV per formula unit
crystal system: monoclinic
calculated total energy: -3.2680 eV per atom
energy relative to the lowest polymorph listed for this composition: 26.9 meV per atom